The following is a DFT calculation (meta-GGA SCAN) of a crystal of TeSe2Br relaxed with PBEsol.

abc: 5.155 3.956 5.921
angles: 90.00 106.47 90.00
Space group P2/m (No. 10)
Symmetry-distinct sites (fractional):
Te 0.000 0.000 0.000 [1 per cell]
Se 0.404 0.500 0.160 [2 per cell]
Br 0.000 0.000 0.500 [1 per cell]

Values from the calculation:
crystal system: monoclinic
uncorrected energy: -97.2 eV for the cell shown
ΔE_f (raw): -30 kJ/mol of formula units